Record 1
Here is a relaxed structure of FeReTc2 from the Alexandria database. Energies are from GGA-PBE.

Unit cell a=3.6866 b=3.6866 c=9.3159 alpha=78.59 beta=78.59 gamma=90.00
Last column: nearest neighbours and their distance in Å.
Sites, in units of the cell vectors:
Re (0.0000, 0.0000, 0.0000)  4 Fe 2.61, 4 Tc 2.63
Re (0.7500, 0.2500, 0.5000)  4 Fe 2.61, 4 Tc 2.63
Fe (0.2500, 0.7500, 0.5000)  4 Tc 2.55, 4 Re 2.61
Fe (0.5000, 0.5000, 0.0000)  4 Tc 2.55, 4 Re 2.61
Tc (0.3750, 0.4083, 0.7500)  2 Tc 2.44, 2 Fe 2.55, 2 Re 2.63
Tc (0.5917, 0.1250, 0.2500)  2 Tc 2.44, 2 Fe 2.55, 2 Re 2.63
Tc (0.8750, 0.8417, 0.7500)  2 Tc 2.44, 2 Fe 2.55, 2 Re 2.63
Tc (0.1583, 0.6250, 0.2500)  2 Tc 2.44, 2 Fe 2.55, 2 Re 2.63

Its formation enthalpy at 0 K is 0.76 eV per atom. For the density of states at the Fermi level, the calculation gives 11.2 states/eV per cell. The value obtained for the total magnetization is 4.34 Bohr magnetons per cell.

=====

Record 2
Here is a relaxed structure of VFeReTc from the Alexandria database. Energies are from GGA-PBE.

Unit cell a=4.2573 b=4.2573 c=4.2573 alpha=60.00 beta=60.00 gamma=60.00
Last column: nearest neighbours and their distance in Å.
Sites, in units of the cell vectors:
Re (0.0000, 0.0000, 0.0000)  4 V 2.61, 4 Fe 2.61
Tc (0.5000, 0.5000, 0.5000)  4 Fe 2.61, 4 V 2.61
Fe (0.2500, 0.2500, 0.2500)  4 Tc 2.61, 4 Re 2.61
V (0.7500, 0.7500, 0.7500)  4 Re 2.61, 4 Tc 2.61

Its formation enthalpy at 0 K is -0.05 eV per atom. For the density of states at the Fermi level, the calculation gives 5.0 states/eV per cell. The value obtained for the total magnetization is 3.01 Bohr magnetons per cell.